[1]
Ba2SrNiH6 | PBE | relaxed

Output
electronic total energy	-33.63	eV per cell

Cell: 5.9128 5.9128 5.9128 Å, 60.00 60.00 60.00°
Fractional positions:
Ba 0.2500 0.2500 0.2500
Ba 0.7500 0.7500 0.7500
Sr 0.0000 0.0000 0.0000
Ni 0.5000 0.5000 0.5000
H 0.2919 0.2919 0.7081
H 0.2919 0.7081 0.2919
H 0.2919 0.7081 0.7081
H 0.7081 0.2919 0.2919
H 0.7081 0.2919 0.7081
H 0.7081 0.7081 0.2919

=====

[2]
BaSr2NiH6 | PBE | relaxed

Output
electronic total energy	-31.90	eV per cell

Cell: 5.8874 5.8874 5.8874 Å, 60.00 60.00 60.00°
Fractional positions:
Ba 0.0000 0.0000 0.0000
Sr 0.2500 0.2500 0.2500
Sr 0.7500 0.7500 0.7500
Ni 0.5000 0.5000 0.5000
H 0.3006 0.3006 0.6994
H 0.3006 0.6994 0.3006
H 0.3006 0.6994 0.6994
H 0.6994 0.3006 0.3006
H 0.6994 0.3006 0.6994
H 0.6994 0.6994 0.3006

=====

[3]
Ba2ZnNiH6 | PBE | relaxed

Output
electronic total energy	-34.00	eV per cell

Cell: 5.5865 5.5865 5.5865 Å, 60.00 60.00 60.00°
Fractional positions:
Ba 0.2500 0.2500 0.2500
Ba 0.7500 0.7500 0.7500
Zn 0.0000 0.0000 0.0000
Ni 0.5000 0.5000 0.5000
H 0.2850 0.2850 0.7150
H 0.2850 0.7150 0.2850
H 0.2850 0.7150 0.7150
H 0.7150 0.2850 0.2850
H 0.7150 0.2850 0.7150
H 0.7150 0.7150 0.2850

=====

[4]
Ba2H2PdS10O34 | PBE | relaxed

Output
electronic total energy	-292.22	eV per cell

Cell: 8.7471 9.1978 9.2875 Å, 60.38 79.67 87.49°
Fractional positions:
Ba 0.2390 0.1947 0.0858
Ba 0.7610 0.8053 0.9142
H 0.0669 0.6541 0.4439
H 0.9331 0.3459 0.5561
Pd 0.5000 0.5000 0.5000
S 0.1103 0.7486 0.1746
S 0.1462 0.6461 0.7288
S 0.1981 0.9992 0.5934
S 0.3650 0.5297 0.2089
S 0.4289 0.1191 0.7061
S 0.5711 0.8809 0.2939
S 0.6350 0.4703 0.7911
S 0.8019 0.0008 0.4066
S 0.8538 0.3539 0.2712
S 0.8897 0.2514 0.8254
O 0.9995 0.3429 0.1771
O 0.0005 0.6571 0.8229
O 0.0056 0.8046 0.0588
O 0.0175 0.6478 0.3534
O 0.0774 0.0230 0.7041
O 0.1404 0.6759 0.5619
O 0.1745 0.0389 0.4298
O 0.1998 0.6061 0.1420
O 0.2244 0.8634 0.1624
O 0.2445 0.5158 0.8208
O 0.2606 0.8169 0.6875
O 0.3029 0.1629 0.7972
O 0.3239 0.4779 0.3923
O 0.3538 0.1033 0.5569
O 0.3786 0.3911 0.1778
O 0.4522 0.7447 0.4111
O 0.4801 0.6658 0.1164
O 0.4980 0.9620 0.7945
O 0.5020 0.0380 0.2055
O 0.5199 0.3342 0.8836
O 0.5478 0.2553 0.5889
O 0.6214 0.6089 0.8222
O 0.6462 0.8967 0.4431
O 0.6761 0.5221 0.6077
O 0.6971 0.8371 0.2028
O 0.7394 0.1831 0.3125
O 0.7555 0.4842 0.1792
O 0.7756 0.1366 0.8376
O 0.8002 0.3939 0.8580
O 0.8255 0.9611 0.5702
O 0.8596 0.3241 0.4381
O 0.9226 0.9770 0.2959
O 0.9825 0.3522 0.6466
O 0.9944 0.1954 0.9412

=====

[5]
BaH3Pt | PBE | relaxed

Output
electronic total energy	-41.61	eV per cell

Cell: 5.6525 5.6525 5.6525 Å, 116.96 116.96 95.36°
Fractional positions:
Ba 0.2500 0.2500 0.0000
Ba 0.7500 0.7500 0.0000
H 0.2044 0.7044 0.9089
H 0.2500 0.7500 0.5000
H 0.2956 0.2044 0.5000
H 0.7044 0.7956 0.5000
H 0.7500 0.2500 0.5000
H 0.7956 0.2956 0.0911
Pt 0.0000 0.5000 0.5000
Pt 0.5000 0.0000 0.5000

=====

[6]
Ba2TcH6 | PBE | relaxed

Output
electronic total energy	-37.83	eV per cell

Cell: 5.6972 5.6972 5.6972 Å, 60.00 60.00 60.00°
Fractional positions:
Ba 0.2500 0.2500 0.2500
Ba 0.7500 0.7500 0.7500
Tc 0.0000 0.0000 0.0000
H 0.2232 0.2232 0.7768
H 0.2232 0.7768 0.2232
H 0.2232 0.7768 0.7768
H 0.7768 0.2232 0.2232
H 0.7768 0.2232 0.7768
H 0.7768 0.7768 0.2232

=====

[7]
Ba2Hf | PBE | relaxed

Output
electronic total energy	-20.25	eV per cell

Cell: 6.8959 6.8959 6.8959 Å, 60.00 60.00 60.00°
Fractional positions:
Ba 0.0000 0.0000 0.0000
Ba 0.0000 0.0000 0.5000
Ba 0.0000 0.5000 0.0000
Ba 0.5000 0.0000 0.0000
Hf 0.3750 0.3750 0.3750
Hf 0.6250 0.6250 0.6250

=====

[8]
Ba3Hf | PBE | relaxed

Output
electronic total energy	-26.99	eV per cell

Cell: 7.7968 7.7968 6.8938 Å, 90.00 90.00 120.00°
Fractional positions:
Ba 0.0000 0.3917 0.2500
Ba 0.0000 0.6083 0.7500
Ba 0.3917 0.0000 0.2500
Ba 0.3917 0.3917 0.7500
Ba 0.6083 0.0000 0.7500
Ba 0.6083 0.6083 0.2500
Hf 0.0000 0.0000 0.0000
Hf 0.0000 0.0000 0.5000

=====

[9]
Ba2Hf | PBE | relaxed

Output
electronic total energy	-16.09	eV per cell

Cell: 9.7431 9.7431 9.7431 Å, 60.00 60.00 60.00°
Fractional positions:
Ba 0.0000 0.0000 0.0000
Ba 0.0000 0.0000 0.5000
Ba 0.0000 0.5000 0.0000
Ba 0.5000 0.0000 0.0000
Hf 0.1250 0.1250 0.1250
Hf 0.8750 0.8750 0.8750

=====

[10]
Ba3HfHg2 | PBE | relaxed

Output
electronic total energy	-16.56	eV per cell

Cell: 3.9383 3.9383 14.3147 Å, 90.00 90.00 90.00°
Fractional positions:
Ba 0.0000 0.0000 0.0000
Ba 0.0000 0.0000 0.3085
Ba 0.5000 0.5000 0.7380
Hf 0.5000 0.5000 0.4929
Hg 0.0000 0.0000 0.5664
Hg 0.5000 0.5000 0.1482

=====

[11]
BaHf3Hg2 | PBE | relaxed

Output
electronic total energy	-32.06	eV per cell

Cell: 3.3978 3.3978 13.1178 Å, 90.00 90.00 90.00°
Fractional positions:
Ba 0.0000 0.0000 0.0000
Hf 0.0000 0.0000 0.6582
Hf 0.5000 0.5000 0.2268
Hf 0.5000 0.5000 0.5126
Hg 0.0000 0.0000 0.3661
Hg 0.5000 0.5000 0.8012

=====

[12]
BaHfIn2 | PBE | relaxed

Output
electronic total energy	-15.58	eV per cell

Cell: 5.4433 5.4433 5.4433 Å, 60.00 60.00 60.00°
Fractional positions:
Ba 0.0000 0.0000 0.0000
Hf 0.2500 0.2500 0.2500
In 0.5000 0.5000 0.5000
In 0.7500 0.7500 0.7500

=====

> Number 2 is which compound?

BaSr2NiH6

=====

Repeat the first record exactly.
Ba2SrNiH6 | PBE | relaxed

Output
electronic total energy	-33.63	eV per cell

Cell: 5.9128 5.9128 5.9128 Å, 60.00 60.00 60.00°
Fractional positions:
Ba 0.2500 0.2500 0.2500
Ba 0.7500 0.7500 0.7500
Sr 0.0000 0.0000 0.0000
Ni 0.5000 0.5000 0.5000
H 0.2919 0.2919 0.7081
H 0.2919 0.7081 0.2919
H 0.2919 0.7081 0.7081
H 0.7081 0.2919 0.2919
H 0.7081 0.2919 0.7081
H 0.7081 0.7081 0.2919